[1]
# AlRe2Sb

A geometry-optimized AlRe2Sb structure (PBE-GGA, Alexandria via LeMat-Bulk).

Output
- E_form (uncorrected): 604 meV/atom
- Calculated volume: 152 Å³/cell
- Offset from the most stable computed form: 487 meV per atom

The structure in extended XYZ format:
```
8
Lattice="4.092 0.000 0.000 0.000 4.092 0.000 2.046 2.046 9.077" Properties=species:S:1:pos:R:3 pbc="T T T"
Re 5.116 4.806 6.807
Al 2.046 2.046 0.000
Sb 0.000 0.000 0.000
Sb 4.092 2.046 4.538
Al 2.046 4.092 4.538
Re 1.332 3.069 2.269
Re 2.760 1.023 2.269
Re 3.069 3.379 6.807
```



[2]
# Al4ReSb

A geometry-optimized Al4ReSb structure (PBE-GGA, Alexandria via LeMat-Bulk).

Output
- E_form (uncorrected): 325 meV/atom
- Calculated volume: 100 Å³/cell

The structure in extended XYZ format:
```
6
Lattice="0.000 3.689 3.689 3.689 0.000 3.689 3.689 3.689 0.000" Properties=species:S:1:pos:R:3 pbc="T T T"
Al 4.603 2.775 4.603
Sb 0.000 0.000 0.000
Al 2.775 4.603 4.603
Al 2.775 2.775 2.775
Al 4.603 4.603 2.775
Re 5.534 5.534 5.534
```



[3]
# AlReSi2Sb

A geometry-optimized AlReSi2Sb structure (PBE-GGA, Alexandria via LeMat-Bulk).

Output
- E_form (uncorrected): 1287 meV/atom
- Calculated volume: 102 Å³/cell

The structure in extended XYZ format:
```
5
Lattice="-1.152 -4.004 -2.021 2.679 -2.356 3.140 -3.648 -0.378 2.829" Properties=species:S:1:pos:R:3 pbc="T T T"
Re 1.340 -1.178 1.570
Si -0.576 -2.002 -1.011
Sb -1.060 -3.369 1.974
Si -1.824 -0.189 1.414
Al 0.000 0.000 0.000
```



[4]
# AlReSb2Te

A geometry-optimized AlReSb2Te structure (PBE-GGA, Alexandria via LeMat-Bulk).

Output
- E_form (uncorrected): 772 meV/atom
- Calculated volume: 150 Å³/cell
- Offset from the most stable computed form: 452 meV per atom

The structure in extended XYZ format:
```
5
Lattice="5.056 0.000 0.000 0.000 5.056 0.000 0.000 0.000 5.877" Properties=species:S:1:pos:R:3 pbc="T T T"
Re 0.000 0.000 0.000
Sb 0.000 2.528 0.000
Sb 2.528 0.000 0.000
Al 2.528 2.528 2.939
Te 0.000 0.000 2.939
```



[5]
# AlReSb2Te

A geometry-optimized AlReSb2Te structure (PBE-GGA, Alexandria via LeMat-Bulk).

Output
- E_form (uncorrected): 320 meV/atom
- Calculated volume: 132 Å³/cell
- Offset from the most stable computed form: 0 meV per atom

The structure in extended XYZ format:
```
5
Lattice="5.177 0.000 0.000 0.000 4.920 0.000 0.000 0.000 5.177" Properties=species:S:1:pos:R:3 pbc="T T T"
Sb 0.000 0.000 2.588
Sb 2.588 0.000 0.000
Re 0.000 0.000 0.000
Te 2.588 2.460 2.588
Al 0.000 2.460 0.000
```



[6]
# AlReSb2Te

A geometry-optimized AlReSb2Te structure (PBE-GGA, Alexandria via LeMat-Bulk).

Output
- E_form (uncorrected): 1449 meV/atom
- Calculated volume: 139 Å³/cell
- Offset from the most stable computed form: 1130 meV per atom

The structure in extended XYZ format:
```
5
Lattice="5.163 0.000 0.000 0.000 5.163 0.000 0.000 0.000 5.213" Properties=species:S:1:pos:R:3 pbc="T T T"
Sb 2.582 0.000 0.000
Sb 0.000 2.582 0.000
Al 0.000 0.000 0.000
Te 0.000 0.000 2.607
Re 2.582 2.582 2.607
```



[7]
# Ti2AlReSb

A geometry-optimized Ti2AlReSb structure (PBE-GGA, Alexandria via LeMat-Bulk).

Output
- E_form (uncorrected): 430 meV/atom
- Calculated volume: 110 Å³/cell

The structure in extended XYZ format:
```
5
Lattice="4.775 0.000 0.000 0.000 4.826 0.000 0.000 0.000 4.775" Properties=species:S:1:pos:R:3 pbc="T T T"
Sb 2.388 2.413 2.388
Re 0.000 0.000 0.000
Ti 2.388 0.000 0.000
Ti 0.000 0.000 2.388
Al 0.000 2.413 0.000
```



[8]
# YAl2ReSb

A geometry-optimized YAl2ReSb structure (PBE-GGA, Alexandria via LeMat-Bulk).

Output
- E_form (uncorrected): 1475 meV/atom
- Calculated volume: 144 Å³/cell

The structure in extended XYZ format:
```
5
Lattice="-1.483 0.704 4.790 0.565 -5.500 0.984 4.814 0.742 1.382" Properties=species:S:1:pos:R:3 pbc="T T T"
Al -0.742 0.352 2.395
Re 1.948 -2.027 3.578
Y 0.283 -2.750 0.492
Sb 0.000 0.000 0.000
Al 2.407 0.371 0.691
```



[9]
# YAlRe2Sb

A geometry-optimized YAlRe2Sb structure (PBE-GGA, Alexandria via LeMat-Bulk).

Output
- E_form (uncorrected): 2438 meV/atom
- Calculated volume: 142 Å³/cell

The structure in extended XYZ format:
```
5
Lattice="-3.657 0.623 -3.411 3.610 -1.174 -4.085 -1.175 -4.887 0.366" Properties=species:S:1:pos:R:3 pbc="T T T"
Al -0.611 -2.719 -3.565
Y 0.000 0.000 0.000
Re -1.828 0.312 -1.705
Sb 1.805 -0.587 -2.042
Re -0.587 -2.443 0.183
```



[10]
# ScAl2Re

A geometry-optimized ScAl2Re structure (PBE-GGA, Alexandria via LeMat-Bulk).

Output
- Formation enthalpy at 0 K: -0.30 eV/atom
- Calculated volume: 65 Å³/cell

The structure in extended XYZ format:
```
4
Lattice="5.077 -0.008 -0.010 1.941 4.691 0.010 -3.137 -2.899 2.744" Properties=species:S:1:pos:R:3 pbc="T T T"
Al 3.593 2.397 0.000
Re 2.725 -0.283 1.367
Al 6.934 4.626 0.000
Sc 1.157 2.066 1.377
```



[11]
# ScAlRe4

A geometry-optimized ScAlRe4 structure (PBE-GGA, Alexandria via LeMat-Bulk).

Output
- Formation enthalpy at 0 K: -0.05 eV/atom
- Calculated volume: 101 Å³/cell

The structure in extended XYZ format:
```
6
Lattice="0.000 3.693 3.693 3.693 0.000 3.693 3.693 3.693 0.000" Properties=species:S:1:pos:R:3 pbc="T T T"
Re 4.620 4.620 2.767
Re 2.767 4.620 4.620
Al 0.000 0.000 0.000
Re 4.620 2.767 4.620
Re 2.767 2.767 2.767
Sc 5.540 5.540 5.540
```



[12]
# Sc2AlRe

A geometry-optimized Sc2AlRe structure (PBE-GGA, Alexandria via LeMat-Bulk).

Output
- Formation enthalpy at 0 K: -0.15 eV/atom
- Calculated volume: 71 Å³/cell

The structure in extended XYZ format:
```
4
Lattice="-4.252 -2.575 -0.579 0.905 -4.680 1.525 0.849 4.369 2.290" Properties=species:S:1:pos:R:3 pbc="T T T"
Sc 0.000 0.000 0.000
Re -2.539 -0.917 1.092
Al -1.674 -3.628 0.473
Sc 0.040 -1.969 2.144
```



no.,density of states at the Fermi level (states/eV per cell)
1,7.5
2,3.4
3,4.1
4,5.9
5,1.6
6,4.7
7,5.8
8,3.1
9,6.0
10,1.6
11,3.3
12,4.1